Entry 1:
# MgTc2O | the Alexandria database | PBE | relaxed
data_MgTc2O
_cell_length_a 6.002
_cell_length_b 6.002
_cell_length_c 6.002
_cell_angle_alpha 90.00
_cell_angle_beta 90.00
_cell_angle_gamma 90.00
_symmetry_space_group_name_H-M 'F m -3 m'
_symmetry_Int_Tables_number 225
_symmetry_space_group_name_Hall '-F 4 2 3'
loop_
_atom_site_label
_atom_site_type_symbol
_atom_site_fract_x
_atom_site_fract_y
_atom_site_fract_z
Mg1 Mg 0.000 0.000 0.000
Tc1 Tc 0.250 0.250 0.250
O1 O 0.000 0.000 0.500
# Calculated volume, Å³ per atom: 13.512
# Distance to the lowest polymorph of the same formula, meV/atom: 1053
# Crystal system: cubic
# Spin magnetization, μB per atom: 0.000
# DFT total energy, eV per atom: -5.824
# Energy relative to the elements, uncorrected, meV/atom: 997
# DOS(E_F), states/eV/f.u.: 6.4



Entry 2:
# Rb3Ho3IrO8 | the Alexandria database | PBE | relaxed
data_Rb3Ho3IrO8
_cell_length_a 6.7760
_cell_length_b 6.7760
_cell_length_c 19.7289
_cell_angle_alpha 90.00
_cell_angle_beta 90.00
_cell_angle_gamma 120.00
_symmetry_space_group_name_H-M 'R -3 m'
_symmetry_Int_Tables_number 166
_symmetry_space_group_name_Hall '-R 3 2"'
loop_
_atom_site_label
_atom_site_type_symbol
_atom_site_fract_x
_atom_site_fract_y
_atom_site_fract_z
Rb1 Rb 0.0000 0.5000 0.0000
Ho1 Ho 0.0000 0.5000 0.5000
Ir1 Ir 0.0000 0.0000 0.5000
O1 O 0.0000 0.0000 0.2238
O2 O 0.0238 0.5119 0.2216
# Calculated volume, Å³ per atom: 17.433
# Crystal system: trigonal
# Spin magnetization, μB per atom: 0.071
# DFT total energy, eV per atom: -6.647
# Energy relative to the elements, uncorrected, meV/atom: -2303
# DOS(E_F), states/eV/f.u.: 7.0



Entry 3:
# Y2CuRu3 | the Alexandria database | PBE | relaxed
data_Y2CuRu3
_cell_length_a 5.3009
_cell_length_b 5.3009
_cell_length_c 13.1009
_cell_angle_alpha 90.00
_cell_angle_beta 90.00
_cell_angle_gamma 120.00
_symmetry_space_group_name_H-M 'R -3 m'
_symmetry_Int_Tables_number 166
_symmetry_space_group_name_Hall '-R 3 2"'
loop_
_atom_site_label
_atom_site_type_symbol
_atom_site_fract_x
_atom_site_fract_y
_atom_site_fract_z
Y1 Y 0.0000 0.0000 0.1225
Cu1 Cu 0.0000 0.0000 0.5000
Ru1 Ru 0.0000 0.5000 0.0000
# Energy relative to the elements, eV/atom: -0.2778
# Calculated volume, Å³ per atom: 17.709
# Crystal system: trigonal
# Spin magnetization, μB per atom: 0.090
# DFT total energy, eV per atom: -7.753
# DOS(E_F), states/eV/f.u.: 5.9



Entry 4:
# LiCaCl | the Alexandria database | PBE | relaxed
data_LiCaCl
_cell_length_a 3.741
_cell_length_b 13.022
_cell_length_c 6.154
_cell_angle_alpha 90.00
_cell_angle_beta 90.00
_cell_angle_gamma 90.00
_symmetry_space_group_name_H-M 'A m m 2'
_symmetry_Int_Tables_number 38
_symmetry_space_group_name_Hall 'A 2 -2'
loop_
_atom_site_label
_atom_site_type_symbol
_atom_site_fract_x
_atom_site_fract_y
_atom_site_fract_z
Li1 Li 0.000 0.121 0.000
Ca1 Ca 0.500 0.161 0.505
Cl1 Cl 0.000 0.000 0.347
Cl2 Cl 0.500 0.000 0.844
# Calculated volume, Å³ per atom: 24.985
# Distance to the lowest polymorph of the same formula, meV/atom: 20
# Crystal system: orthorhombic
# Spin magnetization, μB per atom: 0.000
# DFT total energy, eV per atom: -2.987
# Energy relative to the elements, uncorrected, meV/atom: -1066
# DOS(E_F), states/eV/f.u.: 1.2



Entry 5:
# LuInGaAu | the Alexandria database | PBE | relaxed
data_LuInGaAu
_cell_length_a 6.942
_cell_length_b 6.942
_cell_length_c 6.942
_cell_angle_alpha 90.00
_cell_angle_beta 90.00
_cell_angle_gamma 90.00
_symmetry_space_group_name_H-M 'F -4 3 m'
_symmetry_Int_Tables_number 216
_symmetry_space_group_name_Hall 'F -4 2 3'
loop_
_atom_site_label
_atom_site_type_symbol
_atom_site_fract_x
_atom_site_fract_y
_atom_site_fract_z
Lu1 Lu 0.000 0.000 0.000
In1 In 0.000 0.000 0.500
Ga1 Ga 0.250 0.250 0.250
Au1 Au 0.250 0.250 0.750
# Energy relative to the elements, eV/atom: -0.4913
# Calculated volume, Å³ per atom: 20.914
# Crystal system: cubic
# Spin magnetization, μB per atom: 0.000
# DFT total energy, eV per atom: -3.882
# DOS(E_F), states/eV/f.u.: 0.8



Entry 6:
# Tb5Dy3Y | the Alexandria database | PBE | relaxed
data_Tb5Dy3Y
_cell_length_a 7.235
_cell_length_b 17.381
_cell_length_c 9.255
_cell_angle_alpha 90.00
_cell_angle_beta 90.00
_cell_angle_gamma 90.00
_symmetry_space_group_name_H-M 'I m m a'
_symmetry_Int_Tables_number 74
_symmetry_space_group_name_Hall '-I 2b 2'
loop_
_atom_site_label
_atom_site_type_symbol
_atom_site_fract_x
_atom_site_fract_y
_atom_site_fract_z
Tb1 Tb 0.000 0.250 0.046
Tb2 Tb 0.247 0.087 0.070
Dy1 Dy 0.000 0.066 0.748
Dy2 Dy 0.250 0.250 0.750
Y1 Y 0.000 0.250 0.408
# Energy relative to the elements, eV/atom: 0.1338
# Calculated volume, Å³ per atom: 32.327
# Distance to the lowest polymorph of the same formula, meV/atom: 0
# Crystal system: orthorhombic
# Spin magnetization, μB per atom: 0.000
# DFT total energy, eV per atom: -4.691
# DOS(E_F), states/eV/f.u.: 12.4



Entry 7:
# PdPtS4 | the Alexandria database | PBE | relaxed
data_PdPtS4
_cell_length_a 12.174
_cell_length_b 3.569
_cell_length_c 6.182
_cell_angle_alpha 90.00
_cell_angle_beta 98.89
_cell_angle_gamma 90.00
_symmetry_space_group_name_H-M 'C 1 2/m 1'
_symmetry_Int_Tables_number 12
_symmetry_space_group_name_Hall '-C 2y'
loop_
_atom_site_label
_atom_site_type_symbol
_atom_site_fract_x
_atom_site_fract_y
_atom_site_fract_z
Pd1 Pd 0.000 0.000 0.000
Pt1 Pt 0.000 0.500 0.500
S1 S 0.103 0.000 0.366
S2 S 0.103 0.500 0.864
# Calculated volume, Å³ per atom: 22.115
# Crystal system: monoclinic
# Spin magnetization, μB per atom: 0.000
# DFT total energy, eV per atom: -4.877
# Energy relative to the elements, uncorrected, meV/atom: -253



Entry 8:
# InGa2PdN | the Alexandria database | PBE | relaxed
data_InGa2PdN
_cell_length_a 5.326
_cell_length_b 5.326
_cell_length_c 5.079
_cell_angle_alpha 90.00
_cell_angle_beta 90.00
_cell_angle_gamma 90.00
_symmetry_space_group_name_H-M 'P 4/m m m'
_symmetry_Int_Tables_number 123
_symmetry_space_group_name_Hall '-P 4 2'
loop_
_atom_site_label
_atom_site_type_symbol
_atom_site_fract_x
_atom_site_fract_y
_atom_site_fract_z
In1 In 0.000 0.000 0.000
Ga1 Ga 0.000 0.500 0.000
Pd1 Pd 0.000 0.000 0.500
N1 N 0.500 0.500 0.500
# Calculated volume, Å³ per atom: 28.809
# Crystal system: tetragonal
# Spin magnetization, μB per atom: 0.451
# DFT total energy, eV per atom: -2.962
# Energy relative to the elements, uncorrected, meV/atom: 1500
# DOS(E_F), states/eV/f.u.: 2.4



Entry 9:
# Zn3In12O5 | the Alexandria database | PBE | relaxed
data_Zn3In12O5
_cell_length_a 15.045
_cell_length_b 15.045
_cell_length_c 15.045
_cell_angle_alpha 90.00
_cell_angle_beta 90.00
_cell_angle_gamma 90.00
_symmetry_space_group_name_H-M 'I a -3 d'
_symmetry_Int_Tables_number 230
_symmetry_space_group_name_Hall '-I 4bd 2c 3'
loop_
_atom_site_label
_atom_site_type_symbol
_atom_site_fract_x
_atom_site_fract_y
_atom_site_fract_z
Zn1 Zn 0.000 0.250 0.125
In1 In 0.032 0.065 0.651
O1 O 0.000 0.000 0.000
O2 O 0.000 0.250 0.375
# Calculated volume, Å³ per atom: 21.286
# Crystal system: cubic
# Spin magnetization, μB per atom: 0.000
# DFT total energy, eV per atom: -3.442
# Energy relative to the elements, uncorrected, meV/atom: -368
# DOS(E_F), states/eV/f.u.: 7.4



Entry 10:
# TaTc2Os2 | the Alexandria database | PBE | relaxed
data_TaTc2Os2
_cell_length_a 7.498
_cell_length_b 7.498
_cell_length_c 2.786
_cell_angle_alpha 90.00
_cell_angle_beta 90.00
_cell_angle_gamma 90.00
_symmetry_space_group_name_H-M 'P 4/m b m'
_symmetry_Int_Tables_number 127
_symmetry_space_group_name_Hall '-P 4 2ab'
loop_
_atom_site_label
_atom_site_type_symbol
_atom_site_fract_x
_atom_site_fract_y
_atom_site_fract_z
Ta1 Ta 0.000 0.000 0.000
Tc1 Tc 0.123 0.377 0.000
Os1 Os 0.172 0.672 0.500
# Energy relative to the elements, eV/atom: 0.0864
# Calculated volume, Å³ per atom: 15.664
# Distance to the lowest polymorph of the same formula, meV/atom: 28
# Crystal system: tetragonal
# Spin magnetization, μB per atom: 0.000
# DFT total energy, eV per atom: -10.922
# DOS(E_F), states/eV/f.u.: 4.2



Entry 11:
# PmLuCo | the Alexandria database | PBE | relaxed
data_PmLuCo
_cell_length_a 3.8939
_cell_length_b 3.8939
_cell_length_c 6.1229
_cell_angle_alpha 90.00
_cell_angle_beta 90.00
_cell_angle_gamma 120.00
_symmetry_space_group_name_H-M 'P 3 m 1'
_symmetry_Int_Tables_number 156
_symmetry_space_group_name_Hall 'P 3 -2"'
loop_
_atom_site_label
_atom_site_type_symbol
_atom_site_fract_x
_atom_site_fract_y
_atom_site_fract_z
Pm1 Pm 0.0000 0.0000 0.0000
Lu1 Lu 0.6667 0.3333 0.5337
Co1 Co 0.3333 0.6667 0.7558
# Energy relative to the elements, eV/atom: -0.0285
# Calculated volume, Å³ per atom: 26.800
# Distance to the lowest polymorph of the same formula, meV/atom: 63
# Crystal system: trigonal
# Spin magnetization, μB per atom: 0.000
# DFT total energy, eV per atom: -5.488
# DOS(E_F), states/eV/f.u.: 2.6



Entry 12:
# Sc4Au3 | the Alexandria database | PBE | relaxed
data_Sc4Au3
_cell_length_a 5.5714
_cell_length_b 5.5714
_cell_length_c 5.3850
_cell_angle_alpha 90.00
_cell_angle_beta 90.00
_cell_angle_gamma 120.00
_symmetry_space_group_name_H-M 'P 6/m m m'
_symmetry_Int_Tables_number 191
_symmetry_space_group_name_Hall '-P 6 2'
loop_
_atom_site_label
_atom_site_type_symbol
_atom_site_fract_x
_atom_site_fract_y
_atom_site_fract_z
Sc1 Sc 0.0000 0.0000 0.2504
Sc2 Sc 0.3333 0.6667 0.0000
Au1 Au 0.0000 0.5000 0.5000
# Energy relative to the elements, eV/atom: -0.3946
# Calculated volume, Å³ per atom: 20.680
# Distance to the lowest polymorph of the same formula, meV/atom: 185
# Crystal system: hexagonal
# Spin magnetization, μB per atom: 0.062
# DFT total energy, eV per atom: -5.417
# DOS(E_F), states/eV/f.u.: 9.5



Entry 13:
# H2OsN | the Alexandria database | PBE | relaxed
data_H2OsN
_cell_length_a 2.822
_cell_length_b 3.912
_cell_length_c 2.870
_cell_angle_alpha 90.00
_cell_angle_beta 90.41
_cell_angle_gamma 90.00
_symmetry_space_group_name_H-M 'P 1 m 1'
_symmetry_Int_Tables_number 6
_symmetry_space_group_name_Hall 'P -2y'
loop_
_atom_site_label
_atom_site_type_symbol
_atom_site_fract_x
_atom_site_fract_y
_atom_site_fract_z
H1 H 0.000 0.000 0.000
H2 H 0.146 0.500 0.606
Os1 Os 0.517 0.000 0.480
N1 N 0.502 0.500 0.489
# Calculated volume, Å³ per atom: 7.922
# Distance to the lowest polymorph of the same formula, meV/atom: 339
# Crystal system: monoclinic
# Spin magnetization, μB per atom: 0.000
# DFT total energy, eV per atom: -6.097
# DOS(E_F), states/eV/f.u.: 1.1



Entry 14:
# Hf2ZnF | the Alexandria database | PBE | relaxed
data_Hf2ZnF
_cell_length_a 4.959
_cell_length_b 4.959
_cell_length_c 12.990
_cell_angle_alpha 90.00
_cell_angle_beta 90.00
_cell_angle_gamma 90.00
_symmetry_space_group_name_H-M 'I -4 2 d'
_symmetry_Int_Tables_number 122
_symmetry_space_group_name_Hall 'I -4 2bw'
loop_
_atom_site_label
_atom_site_type_symbol
_atom_site_fract_x
_atom_site_fract_y
_atom_site_fract_z
Hf1 Hf 0.176 0.250 0.125
Zn1 Zn 0.000 0.000 0.500
F1 F 0.000 0.000 0.000
# Calculated volume, Å³ per atom: 19.963
# Distance to the lowest polymorph of the same formula, meV/atom: 220
# Crystal system: tetragonal
# Spin magnetization, μB per atom: 0.000
# DFT total energy, eV per atom: -6.042
# Energy relative to the elements, uncorrected, meV/atom: -279
# DOS(E_F), states/eV/f.u.: 4.2



Entry 15:
# ErSi2Ni2 | the Alexandria database | PBE | relaxed
data_ErSi2Ni2
_cell_length_a 3.951
_cell_length_b 3.951
_cell_length_c 9.499
_cell_angle_alpha 90.00
_cell_angle_beta 90.00
_cell_angle_gamma 90.00
_symmetry_space_group_name_H-M 'I 4/m m m'
_symmetry_Int_Tables_number 139
_symmetry_space_group_name_Hall '-I 4 2'
loop_
_atom_site_label
_atom_site_type_symbol
_atom_site_fract_x
_atom_site_fract_y
_atom_site_fract_z
Er1 Er 0.000 0.000 0.000
Si1 Si 0.000 0.000 0.374
Ni1 Ni 0.000 0.500 0.250
# Calculated volume, Å³ per atom: 14.829
# Crystal system: tetragonal
# Spin magnetization, μB per atom: 0.000
# DFT total energy, eV per atom: -6.250
# Energy relative to the elements, uncorrected, meV/atom: -855
# DOS(E_F), states/eV/f.u.: 3.8